# PBE ZnTc2Cl, optimized geometry
# DOS at the Fermi energy: 3.96 states/eV/f.u.
# Mass density: 8.04 g/cm³
# E_tot: -21.6 eV per formula unit
# Magnetic moment: 1.4 μB per formula unit
data_ZnTc2Cl
_space_group_name_H-M_alt 'C m m m'
_space_group_IT_number 65
_space_group_name_Hall '-C 2 2'
_cell_length_a 2.816
_cell_length_b 4.986
_cell_length_c 8.730
_cell_angle_alpha 90.00
_cell_angle_beta 90.00
_cell_angle_gamma 90.00
loop_
_atom_site_label
_atom_site_fract_x
_atom_site_fract_y
_atom_site_fract_z
_atom_site_occupancy
Zn1 0.000 0.000 0.000 1
Tc1 0.000 0.500 0.256 1
Cl1 0.000 0.000 0.500 1